1.
Computed, not measured: a geometry-optimized AcYUO6 structure at the PBE level of DFT.

## Properties
formation energy (no corrections): -3.383 eV per atom

Cell lengths 5.8742, 5.8742, 10.2620 Å; angles 90.00, 90.00, 120.00 degrees
Space group P-31c (No. 163)
Inequivalent atoms, fractional coordinates:
Ac 0.0000 0.0000 0.0000 [2 per cell]
Y 0.3333 0.6667 0.2500 [2 per cell]
U 0.3333 0.6667 0.7500 [2 per cell]
O 0.0231 0.3715 0.6414 [12 per cell]

---

2.
Computed, not measured: a geometry-optimized ZrAlSe2 structure at the PBE level of DFT.

## Properties
formation energy (no corrections): -0.705 eV per atom

Cell lengths 3.440, 3.440, 7.513 Å; angles 90.00, 90.00, 90.00 degrees
Space group P4mm (No. 99)
Inequivalent atoms, fractional coordinates:
Zr 0.000 0.000 0.000 [1 per cell]
Al 0.500 0.500 0.264 [1 per cell]
Se 0.000 0.000 0.395 [1 per cell]
Se 0.500 0.500 0.820 [1 per cell]

---

3.
Computed, not measured: a geometry-optimized TbCeZn2 structure at the PBE level of DFT.

Cell lengths 3.559, 3.559, 7.374 Å; angles 90.00, 90.00, 90.00 degrees
Space group P4/mmm (No. 123)
Inequivalent atoms, fractional coordinates:
Tb 0.000 0.000 0.000 [1 per cell]
Ce 0.000 0.000 0.500 [1 per cell]
Zn 0.500 0.500 0.239 [2 per cell]

---

4.
Computed, not measured: a geometry-optimized GdPuGe structure at the PBE level of DFT.

## Properties
excess energy over the best structure of this formula in the dataset: 0.00 eV per formula unit

Cell lengths 6.987, 6.987, 6.987 Å; angles 90.00, 90.00, 90.00 degrees
Space group F-43m (No. 216)
Inequivalent atoms, fractional coordinates:
Gd 0.000 0.000 0.000 [4 per cell]
Pu 0.000 0.000 0.500 [4 per cell]
Ge 0.250 0.250 0.250 [4 per cell]

---

Calculated total energy (eV for the cell shown), listed in the same order as above: -164.105 -22.079 -14.127 -135.861